Here is a relaxed structure of Sr2MgIn from the Alexandria database. Energies are from GGA-PBEsol.

Unit cell a=3.905 b=5.784 c=6.887 alpha=114.83 beta=106.47 gamma=90.00
Fractional coordinates of all 4 atoms:
Sr1 0.781 0.281 0.561
Sr2 0.982 0.982 0.965
Mg1 0.212 0.712 0.424
In1 0.525 0.525 0.050

Values from the calculation:
- Magnetization: 0.000 μB per formula unit
- Crystal system: orthorhombic
- E_form: -228 meV/atom


Here is a relaxed structure of Sr2MgIn from the Alexandria database. Energies are from GGA-PBEsol.

Unit cell a=3.980 b=5.763 c=5.764 alpha=90.00 beta=90.00 gamma=90.00
Fractional coordinates of all 4 atoms:
Sr1 0.000 0.000 0.123
Sr2 0.000 0.500 0.627
In1 0.500 0.000 0.621
Mg1 0.500 0.500 0.129

Values from the calculation:
- Magnetization: 0.000 μB per formula unit
- Crystal system: orthorhombic
- E_form: -282 meV/atom


Here is a relaxed structure of SrMg2In2 from the Alexandria database. Energies are from GGA-PBEsol.

Unit cell a=4.639 b=4.639 c=7.162 alpha=108.90 beta=108.90 gamma=90.00
Fractional coordinates of all 5 atoms:
Mg1 0.750 0.250 0.500
Mg2 0.250 0.750 0.500
Sr1 0.000 0.000 0.000
In1 0.610 0.610 0.221
In2 0.390 0.390 0.779

Values from the calculation:
- Magnetization: 0.000 μB per formula unit
- Crystal system: tetragonal
- E_form: -312 meV/atom


Here is a relaxed structure of Sr2MgIn from the Alexandria database. Energies are from GGA-PBEsol.

Unit cell a=5.716 b=5.716 c=5.716 alpha=60.00 beta=60.00 gamma=60.00
Fractional coordinates of all 4 atoms:
Sr1 0.250 0.250 0.250
Sr2 0.750 0.750 0.750
In1 0.500 0.500 0.500
Mg1 0.000 0.000 0.000

Values from the calculation:
- Magnetization: 0.000 μB per formula unit
- Crystal system: cubic
- E_form: -283 meV/atom


Here is a relaxed structure of SrMgIn from the Alexandria database. Energies are from GGA-PBEsol.

Unit cell a=3.852 b=5.146 c=5.146 alpha=120.00 beta=90.00 gamma=90.00
Fractional coordinates of all 3 atoms:
Mg1 0.000 0.333 0.667
In1 0.000 0.000 0.000
Sr1 0.500 0.667 0.333

Values from the calculation:
- Magnetization: 0.000 μB per formula unit
- Crystal system: hexagonal
- E_form: -323 meV/atom


Here is a relaxed structure of MgTaIn2 from the Alexandria database. Energies are from GGA-PBEsol.

Unit cell a=2.955 b=5.133 c=5.266 alpha=90.00 beta=90.00 gamma=90.00
Fractional coordinates of all 4 atoms:
Mg1 0.500 0.000 0.542
In1 0.000 0.000 0.056
In2 0.000 0.500 0.698
Ta1 0.500 0.500 0.205

Values from the calculation:
- Magnetization: 0.000 μB per formula unit
- Crystal system: orthorhombic
- E_form: 126 meV/atom


Here is a relaxed structure of Mg2TaIn from the Alexandria database. Energies are from GGA-PBEsol.

Unit cell a=2.921 b=5.512 c=5.512 alpha=116.22 beta=90.00 gamma=90.00
Fractional coordinates of all 4 atoms:
In1 0.500 0.500 0.500
Ta1 0.500 0.000 0.000
Mg1 0.000 0.500 0.000
Mg2 0.000 0.000 0.500

Values from the calculation:
- Magnetization: 0.000 μB per formula unit
- Crystal system: orthorhombic
- E_form: 193 meV/atom


Here is a relaxed structure of MgTaIn2 from the Alexandria database. Energies are from GGA-PBEsol.

Unit cell a=3.067 b=5.197 c=5.487 alpha=100.85 beta=90.00 gamma=107.16
Fractional coordinates of all 4 atoms:
Mg1 0.000 0.000 0.500
Ta1 0.500 0.000 0.000
In1 0.753 0.505 0.763
In2 0.247 0.495 0.237

Values from the calculation:
- Magnetization: 0.000 μB per formula unit
- Crystal system: monoclinic
- E_form: 210 meV/atom


Here is a relaxed structure of MgTa2In from the Alexandria database. Energies are from GGA-PBEsol.

Unit cell a=3.486 b=3.486 c=6.395 alpha=90.00 beta=90.00 gamma=90.00
Fractional coordinates of all 4 atoms:
Mg1 0.500 0.500 0.756
Ta1 0.500 0.500 0.214
Ta2 0.000 0.000 0.031
In1 0.000 0.000 0.499

Values from the calculation:
- Magnetization: 0.000 μB per formula unit
- Crystal system: tetragonal
- E_form: 142 meV/atom


Here is a relaxed structure of MgTaIn2 from the Alexandria database. Energies are from GGA-PBEsol.

Unit cell a=4.174 b=4.174 c=5.370 alpha=112.87 beta=112.87 gamma=90.00
Fractional coordinates of all 4 atoms:
In1 0.250 0.750 0.500
In2 0.750 0.250 0.500
Ta1 0.000 0.000 0.000
Mg1 0.500 0.500 0.000

Values from the calculation:
- Magnetization: 0.000 μB per formula unit
- Crystal system: tetragonal
- E_form: 161 meV/atom


Here is a relaxed structure of TbMgIn from the Alexandria database. Energies are from GGA-PBEsol.

Unit cell a=4.628 b=7.451 c=7.451 alpha=120.00 beta=90.00 gamma=90.00
Fractional coordinates of all 9 atoms:
Mg1 0.500 0.758 0.758
Mg2 0.500 0.242 0.000
Mg3 0.500 0.000 0.242
Tb1 0.000 0.000 0.566
Tb2 0.000 0.434 0.434
Tb3 0.000 0.566 0.000
In1 0.000 0.000 0.000
In2 0.500 0.667 0.333
In3 0.500 0.333 0.667

Values from the calculation:
- Magnetization: 0.000 μB per formula unit
- Crystal system: hexagonal
- E_form: -433 meV/atom


Here is a relaxed structure of MgInTc2 from the Alexandria database. Energies are from GGA-PBEsol.

Unit cell a=2.740 b=2.740 c=8.727 alpha=90.00 beta=90.00 gamma=90.00
Fractional coordinates of all 4 atoms:
Tc1 0.000 0.000 0.251
Tc2 0.000 0.000 0.749
In1 0.500 0.500 0.000
Mg1 0.500 0.500 0.500

Values from the calculation:
- Magnetization: 0.013 μB per formula unit
- Crystal system: tetragonal
- Energy relative to the lowest polymorph listed for this composition: 485.0 meV/atom
- E_form: 503 meV/atom


Here is a relaxed structure of MgInTc2 from the Alexandria database. Energies are from GGA-PBEsol.

Unit cell a=2.973 b=2.973 c=7.794 alpha=90.00 beta=90.00 gamma=90.00
Fractional coordinates of all 4 atoms:
In1 0.000 0.000 0.472
Mg1 0.500 0.500 0.786
Tc1 0.500 0.500 0.210
Tc2 0.000 0.000 0.031

Values from the calculation:
- Magnetization: 0.000 μB per formula unit
- Crystal system: tetragonal
- Energy relative to the lowest polymorph listed for this composition: 0.0 meV/atom
- E_form: 18 meV/atom


Here is a relaxed structure of MgInTc2 from the Alexandria database. Energies are from GGA-PBEsol.

Unit cell a=2.762 b=4.506 c=5.301 alpha=90.00 beta=100.69 gamma=90.00
Fractional coordinates of all 4 atoms:
In1 0.500 0.500 0.000
Mg1 0.000 0.500 0.500
Tc1 0.722 0.000 0.730
Tc2 0.278 0.000 0.270

Values from the calculation:
- Magnetization: 0.001 μB per formula unit
- Crystal system: monoclinic
- Energy relative to the lowest polymorph listed for this composition: 328.7 meV/atom
- E_form: 346 meV/atom


Here is a relaxed structure of MgIn2Te from the Alexandria database. Energies are from GGA-PBEsol.

Unit cell a=3.908 b=3.908 c=6.711 alpha=90.00 beta=90.00 gamma=90.00
Fractional coordinates of all 4 atoms:
In1 0.000 0.000 0.757
In2 0.000 0.000 0.243
Te1 0.500 0.500 0.500
Mg1 0.500 0.500 0.000

Values from the calculation:
- Magnetization: 0.000 μB per formula unit
- Uncorrected formation energy: -104.4 meV per atom
- Crystal system: tetragonal
- Energy relative to the lowest polymorph listed for this composition: 92.2 meV/atom


Here is a relaxed structure of MgInTe2 from the Alexandria database. Energies are from GGA-PBEsol.

Unit cell a=4.279 b=4.279 c=6.050 alpha=90.00 beta=90.00 gamma=89.99
Fractional coordinates of all 4 atoms:
Te1 0.625 0.625 0.500
Te2 0.125 0.125 0.000
Mg1 0.125 0.125 0.500
In1 0.625 0.625 0.000

Values from the calculation:
- Magnetization: 0.000 μB per formula unit
- Uncorrected formation energy: -537.7 meV per atom
- Crystal system: tetragonal


Here is a relaxed structure of MgIn2Te from the Alexandria database. Energies are from GGA-PBEsol.

Unit cell a=5.274 b=5.274 c=5.274 alpha=60.00 beta=60.00 gamma=60.00
Fractional coordinates of all 4 atoms:
In1 0.750 0.750 0.750
In2 0.000 0.000 0.000
Mg1 0.500 0.500 0.500
Te1 0.250 0.250 0.250

Values from the calculation:
- Magnetization: 0.000 μB per formula unit
- Uncorrected formation energy: -47.0 meV per atom
- Crystal system: cubic
- Energy relative to the lowest polymorph listed for this composition: 149.6 meV/atom


Here is a relaxed structure of Mg3InTe from the Alexandria database. Energies are from GGA-PBEsol.

Unit cell a=5.407 b=5.407 c=5.407 alpha=90.00 beta=90.00 gamma=90.00
Fractional coordinates of all 5 atoms:
Te1 0.000 0.000 0.000
In1 0.500 0.500 0.500
Mg1 0.000 0.000 0.500
Mg2 0.000 0.500 0.000
Mg3 0.500 0.000 0.000

Values from the calculation:
- Magnetization: 0.000 μB per formula unit
- Uncorrected formation energy: 300.8 meV per atom
- Crystal system: cubic


Here is a relaxed structure of MgInTe from the Alexandria database. Energies are from GGA-PBEsol.

Unit cell a=3.846 b=3.846 c=5.865 alpha=109.14 beta=109.14 gamma=90.00
Fractional coordinates of all 3 atoms:
Mg1 0.314 0.314 0.629
In1 0.999 0.999 0.998
Te1 0.686 0.686 0.373

Values from the calculation:
- Magnetization: 0.000 μB per formula unit
- Uncorrected formation energy: -208.9 meV per atom
- Crystal system: tetragonal
- Energy relative to the lowest polymorph listed for this composition: 0.0 meV/atom


Here is a relaxed structure of MgIn2Te from the Alexandria database. Energies are from GGA-PBEsol.

Unit cell a=3.228 b=6.178 c=5.943 alpha=114.11 beta=105.76 gamma=90.00
Fractional coordinates of all 4 atoms:
In1 0.042 0.088 0.084
In2 0.796 0.162 0.593
Te1 0.196 0.629 0.391
Mg1 0.466 0.622 0.932

Values from the calculation:
- Magnetization: 0.000 μB per formula unit
- Uncorrected formation energy: -107.3 meV per atom
- Crystal system: monoclinic
- Energy relative to the lowest polymorph listed for this composition: 89.3 meV/atom


Here is a relaxed structure of MgInTe2 from the Alexandria database. Energies are from GGA-PBEsol.

Unit cell a=3.755 b=3.755 c=7.421 alpha=90.00 beta=90.00 gamma=90.00
Fractional coordinates of all 4 atoms:
Mg1 0.500 0.500 0.500
Te1 0.000 0.000 0.272
Te2 0.000 0.000 0.728
In1 0.500 0.500 0.000

Values from the calculation:
- Magnetization: 0.000 μB per formula unit
- Uncorrected formation energy: -260.7 meV per atom
- Crystal system: tetragonal


Here is a relaxed structure of MgInTe from the Alexandria database. Energies are from GGA-PBEsol.

Unit cell a=5.088 b=5.088 c=5.088 alpha=60.00 beta=60.00 gamma=60.00
Fractional coordinates of all 3 atoms:
Mg1 0.000 0.000 0.000
In1 0.250 0.250 0.250
Te1 0.500 0.500 0.500

Values from the calculation:
- Magnetization: 0.000 μB per formula unit
- Uncorrected formation energy: 52.6 meV per atom
- Crystal system: cubic
- Energy relative to the lowest polymorph listed for this composition: 261.4 meV/atom


Here is a relaxed structure of MgInTe2 from the Alexandria database. Energies are from GGA-PBEsol.

Unit cell a=6.594 b=6.594 c=8.279 alpha=113.47 beta=113.47 gamma=90.00
Fractional coordinates of all 8 atoms:
Te1 0.397 0.875 0.250
Te2 0.853 0.375 0.250
Te3 0.125 0.147 0.750
Te4 0.625 0.603 0.750
Mg1 0.500 0.500 0.000
Mg2 0.750 0.250 0.500
In1 0.000 0.000 0.000
In2 0.250 0.750 0.500

Values from the calculation:
- Magnetization: 0.000 μB per formula unit
- Uncorrected formation energy: -385.9 meV per atom
- Crystal system: tetragonal


Here is a relaxed structure of MgIn2Te from the Alexandria database. Energies are from GGA-PBEsol.

Unit cell a=4.339 b=4.203 c=6.490 alpha=108.89 beta=109.53 gamma=90.00
Fractional coordinates of all 4 atoms:
In1 0.239 0.239 0.479
In2 0.761 0.761 0.521
Te1 0.000 0.500 0.000
Mg1 0.500 0.000 0.000

Values from the calculation:
- Magnetization: 0.000 μB per formula unit
- Uncorrected formation energy: -196.6 meV per atom
- Crystal system: orthorhombic
- Energy relative to the lowest polymorph listed for this composition: 0.0 meV/atom


Here is a relaxed structure of MgInTe2 from the Alexandria database. Energies are from GGA-PBEsol.

Unit cell a=4.255 b=4.255 c=7.478 alpha=73.47 beta=73.47 gamma=60.00
Fractional coordinates of all 4 atoms:
In1 0.000 0.000 0.000
Te1 0.755 0.755 0.735
Te2 0.245 0.245 0.265
Mg1 0.500 0.500 0.500

Values from the calculation:
- Magnetization: 0.000 μB per formula unit
- Uncorrected formation energy: -533.1 meV per atom
- Crystal system: trigonal


Here is a relaxed structure of Mg2Tl2In from the Alexandria database. Energies are from GGA-PBEsol.

Unit cell a=3.326 b=8.635 c=8.635 alpha=90.00 beta=90.00 gamma=90.00
Fractional coordinates of all 10 atoms:
Mg1 0.500 0.349 0.151
Mg2 0.500 0.151 0.651
Mg3 0.500 0.651 0.849
Mg4 0.500 0.849 0.349
In1 0.000 0.500 0.500
In2 0.000 0.000 0.000
Tl1 0.000 0.353 0.853
Tl2 0.000 0.147 0.353
Tl3 0.000 0.853 0.647
Tl4 0.000 0.647 0.147

Values from the calculation:
- Magnetization: 0.000 μB per formula unit
- Crystal system: tetragonal
- E_form: -6 meV/atom


Here is a relaxed structure of Mg2TlIn2 from the Alexandria database. Energies are from GGA-PBEsol.

Unit cell a=3.299 b=8.617 c=8.617 alpha=90.00 beta=90.00 gamma=90.00
Fractional coordinates of all 10 atoms:
Tl1 0.000 0.500 0.500
Tl2 0.000 0.000 0.000
In1 0.000 0.375 0.875
In2 0.000 0.875 0.625
In3 0.000 0.625 0.125
In4 0.000 0.125 0.375
Mg1 0.500 0.326 0.174
Mg2 0.500 0.674 0.826
Mg3 0.500 0.174 0.674
Mg4 0.500 0.826 0.326

Values from the calculation:
- Magnetization: 0.000 μB per formula unit
- Crystal system: tetragonal
- E_form: -43 meV/atom


Here is a relaxed structure of MgTlIn from the Alexandria database. Energies are from GGA-PBEsol.

Unit cell a=3.435 b=3.435 c=6.717 alpha=104.38 beta=104.38 gamma=91.65
Fractional coordinates of all 3 atoms:
Tl1 0.328 0.328 0.657
Mg1 0.664 0.664 0.328
In1 0.007 0.007 0.015

Values from the calculation:
- Magnetization: 0.000 μB per formula unit
- Crystal system: orthorhombic
- E_form: -40 meV/atom


Here is a relaxed structure of MgTlIn from the Alexandria database. Energies are from GGA-PBEsol.

Unit cell a=3.379 b=4.403 c=5.690 alpha=112.77 beta=107.28 gamma=90.00
Fractional coordinates of all 3 atoms:
Tl1 0.331 0.331 0.663
In1 0.004 0.004 0.008
Mg1 0.665 0.665 0.329

Values from the calculation:
- Magnetization: 0.000 μB per formula unit
- Crystal system: orthorhombic
- E_form: -43 meV/atom


Here is a relaxed structure of MgTlIn from the Alexandria database. Energies are from GGA-PBEsol.

Unit cell a=3.318 b=5.117 c=5.117 alpha=120.00 beta=90.00 gamma=90.00
Fractional coordinates of all 3 atoms:
In1 0.005 0.000 0.000
Mg1 0.655 0.333 0.667
Tl1 0.340 0.667 0.333

Values from the calculation:
- Magnetization: 0.000 μB per formula unit
- Crystal system: trigonal
- E_form: -6 meV/atom